P.
# Ga3ReH

A relaxed structure of Ga3ReH (PBE, the Alexandria database).

```
Ga3ReH
1.0
4.8644 0.0000 0.0000
0.0000 4.8644 0.0000
0.0000 0.0000 4.8644
H Ga Re
1 3 1
Cartesian
2.4322 2.4322 2.4322
2.4322 0.0000 0.0000
0.0000 0.0000 2.4322
0.0000 2.4322 0.0000
0.0000 0.0000 0.0000
```

Space-group type: No. 221
N(E_F) (states/eV/cell): 3.25
Size of the total moment (Bohr magnetons per cell): 1.1

=====

Q.
# Ga3ReH

A relaxed structure of Ga3ReH (PBE, the Alexandria database).

```
Ga3ReH
1.0
-2.9343 -1.5475 -2.2673
2.7450 -1.6256 -2.4429
0.0235 -3.3329 2.2443
H Ga Re
1 3 1
Cartesian
0.0000 0.0000 0.0000
1.3725 -0.8128 -1.2215
-1.4671 -0.7738 -1.1337
0.0118 -1.6664 1.1222
-0.0829 -3.2530 -1.2330
```

Space-group type: No. 221
N(E_F) (states/eV/cell): 3.82
Size of the total moment (Bohr magnetons per cell): 0.8

=====

Most stable of them? Q.

=====

P.
# Ga2ReH6

A relaxed structure of Ga2ReH6 (PBE, the Alexandria database).

```
Ga2ReH6
1.0
-3.2538 -3.3331 2.3752
0.4781 -2.9334 -3.4615
4.5272 -3.6806 3.7442
H Re Ga
12 2 4
Cartesian
3.7914 -5.1431 3.1369
3.1590 -2.9634 2.9436
-2.0399 -4.8040 -0.4791
0.1454 -6.4382 0.7207
-0.1375 -4.7335 2.7307
2.2446 -5.6945 2.1250
-0.4931 -4.2526 0.5328
-2.2454 -3.5744 0.9703
3.9969 -6.3727 1.6876
1.6061 -3.5089 1.9372
1.8890 -5.2135 -0.0728
-1.4075 -6.9836 -0.2858
-1.3879 -3.1332 -0.5432
2.2636 -1.8403 1.8721
2.0213 -8.5702 1.5285
-0.2698 -1.3768 1.1294
1.1455 -3.5968 0.1994
0.6060 -6.3503 2.4584
```

Space-group type: No. 12
N(E_F) (states/eV/cell): 1.83
Size of the total moment (Bohr magnetons per cell): 0.0

=====

Q.
# Ga2ReH6

A relaxed structure of Ga2ReH6 (PBE, the Alexandria database).

```
Ga2ReH6
1.0
4.0209 0.0000 2.3215
1.3403 3.7910 2.3215
0.0000 0.0000 4.6430
H Ga Re
6 2 1
Cartesian
3.9307 2.7795 4.6430
2.0555 2.7795 3.5603
2.0555 2.7795 5.7256
3.3057 1.0115 3.5603
1.4305 1.0115 4.6430
3.3057 1.0115 5.7256
1.3403 0.9477 2.3215
4.0209 2.8432 6.9644
0.0000 0.0000 0.0000
```

Space-group type: No. 225
N(E_F) (states/eV/cell): 3.72
Size of the total moment (Bohr magnetons per cell): 0.0

=====

Most stable of them? P.

=====

P.
# Ti2GaReH

A relaxed structure of Ti2GaReH (PBE, the Alexandria database).

```
Ti2GaReH
1.0
4.8646 0.0000 0.0000
0.0000 3.1248 0.0000
0.0000 0.0000 4.8646
Ti Re H Ga
2 1 1 1
Cartesian
0.0000 0.0000 2.4323
2.4323 0.0000 0.0000
2.4323 1.5624 2.4323
0.0000 1.5624 0.0000
0.0000 0.0000 0.0000
```

Space-group type: No. 123
N(E_F) (states/eV/cell): 5.67
Size of the total moment (Bohr magnetons per cell): 0.0

=====

Q.
# Ti2GaReH

A relaxed structure of Ti2GaReH (PBE, the Alexandria database).

```
Ti2GaReH
1.0
-2.9690 1.4810 -2.5273
0.3599 -3.3868 -2.4074
-2.5689 -1.7071 2.0176
H Ga Re Ti
1 1 1 2
Cartesian
0.0000 0.0000 0.0000
-2.5890 -1.8065 -1.4586
-1.2845 -0.8535 1.0088
0.1799 -1.6934 -1.2037
-1.4845 0.7405 -1.2637
```

Space-group type: No. 123
N(E_F) (states/eV/cell): 4.29
Size of the total moment (Bohr magnetons per cell): 0.0

=====

Most stable of them? Q.

=====

P.
# ZnGaRe2H

A relaxed structure of ZnGaRe2H (PBE, the Alexandria database).

```
ZnGaRe2H
1.0
3.8664 0.0000 0.0000
0.0000 4.2073 0.0000
0.0000 0.0000 3.8664
Ga Zn Re H
1 1 2 1
Cartesian
0.0000 2.1037 0.0000
1.9332 2.1037 1.9332
1.9332 0.0000 0.0000
0.0000 0.0000 1.9332
0.0000 0.0000 0.0000
```

Space-group type: No. 123
N(E_F) (states/eV/cell): 4.11
Size of the total moment (Bohr magnetons per cell): 0.0

=====

Q.
# ZnGaRe2H

A relaxed structure of ZnGaRe2H (PBE, the Alexandria database).

```
ZnGaRe2H
1.0
4.9297 0.0000 0.0000
0.0000 2.8956 0.0000
0.0000 0.0000 4.9297
Zn H Re Ga
1 1 2 1
Cartesian
2.4649 1.4478 2.4649
0.0000 1.4478 0.0000
0.0000 0.0000 2.4649
2.4649 0.0000 0.0000
0.0000 0.0000 0.0000
```

Space-group type: No. 123
N(E_F) (states/eV/cell): 5.75
Size of the total moment (Bohr magnetons per cell): 0.0

=====

Most stable of them? P.

=====

P.
# GaHRh2

A relaxed structure of GaHRh2 (PBE, the Alexandria database).

```
GaHRh2
1.0
-2.8390 -0.6606 -0.4031
0.0067 -3.0008 4.8703
-1.5113 4.7194 2.9099
H Rh Ga
2 4 2
Cartesian
-2.5496 1.7088 4.4161
-1.7940 -0.6508 2.9610
-2.9258 2.1938 6.2702
-2.1704 -0.1649 4.8158
-1.4179 -1.1358 1.1069
-2.1732 1.2229 2.5612
-0.3712 -1.8204 5.5968
-1.1335 3.5390 2.1833
```

Space-group type: No. 47
N(E_F) (states/eV/cell): 7.44
Size of the total moment (Bohr magnetons per cell): 0.0

=====

Q.
# GaHRh2

A relaxed structure of GaHRh2 (PBE, the Alexandria database).

```
GaHRh2
1.0
2.8788 0.0000 0.0000
1.4394 2.4931 0.0000
1.4394 0.8310 6.3198
Ga Rh H
1 2 1
Cartesian
0.0000 0.0000 0.0000
1.4394 0.8310 1.9637
4.3182 2.4931 4.3562
2.8788 1.6621 3.1599
```

Space-group type: No. 166
N(E_F) (states/eV/cell): 1.78
Size of the total moment (Bohr magnetons per cell): 0.0

=====

R.
# GaHRh2

A relaxed structure of GaHRh2 (PBE, the Alexandria database).

```
GaHRh2
1.0
-2.8589 0.4666 -0.2186
0.3963 -6.7651 0.2923
1.2384 1.0380 4.8822
H Rh Ga
2 4 2
Cartesian
-0.1744 -0.4822 0.8586
-1.0498 -4.7784 4.0973
-1.0667 -6.0278 1.4026
-0.1575 0.7672 3.5533
-0.8148 -3.0442 4.1223
-0.4094 -2.2163 0.8335
-1.8758 -1.0801 2.8690
0.6516 -4.1804 2.0868
```

Space-group type: No. 2
N(E_F) (states/eV/cell): 5.88
Size of the total moment (Bohr magnetons per cell): 0.0

=====

S.
# GaHRh2

A relaxed structure of GaHRh2 (PBE, the Alexandria database).

```
GaHRh2
1.0
0.0000 2.8961 2.8961
2.8961 0.0000 2.8961
2.8961 2.8961 0.0000
H Rh Ga
1 2 1
Cartesian
0.0000 0.0000 0.0000
4.3441 4.3441 4.3441
1.4480 1.4480 1.4480
2.8961 2.8961 2.8961
```

Space-group type: No. 225
N(E_F) (states/eV/cell): 3.32
Size of the total moment (Bohr magnetons per cell): 0.0

=====

Most stable of them? Q.

=====

P.
# GaHRh2

A relaxed structure of GaHRh2 (PBE, the Alexandria database).

```
GaHRh2
1.0
5.8839 0.0000 0.0000
0.0000 5.8839 0.0000
2.9420 2.9420 2.6981
Rh Ga H
4 2 2
Cartesian
7.3549 6.8322 2.0236
4.4130 4.9357 2.0236
1.9937 4.4130 0.6745
3.8903 1.4710 0.6745
0.0000 0.0000 0.0000
5.8839 2.9420 1.3490
2.9420 2.9420 0.0000
2.9420 5.8839 1.3490
```

Space-group type: No. 122
N(E_F) (states/eV/cell): 6.37
Size of the total moment (Bohr magnetons per cell): 0.0

=====

Q.
# GaHRh2

A relaxed structure of GaHRh2 (PBE, the Alexandria database).

```
GaHRh2
1.0
2.8799 0.0000 0.0000
1.4399 2.4940 0.0000
1.4399 0.8313 6.3222
Ga Rh H
1 2 1
Cartesian
2.8799 1.6627 3.1772
1.4399 0.8314 1.2299
1.4399 0.8314 5.1406
4.3198 2.4940 6.2579
```

Space-group type: No. 160
N(E_F) (states/eV/cell): 1.81
Size of the total moment (Bohr magnetons per cell): 0.0

=====

Most stable of them? Q.

=====

P.
# GaH2Rh

A relaxed structure of GaH2Rh (PBE, the Alexandria database).

```
GaH2Rh
1.0
0.0000 2.6333 2.6333
2.6333 0.0000 2.6333
2.6333 2.6333 0.0000
H Rh Ga
2 1 1
Cartesian
3.9500 3.9500 3.9500
1.3167 1.3167 1.3167
2.6333 2.6333 2.6333
0.0000 0.0000 0.0000
```

Space-group type: No. 225
N(E_F) (states/eV/cell): 2.58
Size of the total moment (Bohr magnetons per cell): 0.0

=====

Q.
# GaH2Rh

A relaxed structure of GaH2Rh (PBE, the Alexandria database).

```
GaH2Rh
1.0
-0.1399 0.3095 3.6595
0.1030 -3.6603 0.3135
5.9428 -1.4895 2.1987
Rh Ga H
2 2 4
Cartesian
0.0000 0.0000 0.0000
2.8922 -1.4277 3.9223
3.0136 -3.4126 2.2494
-0.0185 -1.6754 1.9865
4.3367 -0.9206 4.8574
1.4130 -2.3568 4.3308
4.4282 -1.8418 3.0934
1.3908 -0.5915 3.4078
```

Space-group type: No. 122
N(E_F) (states/eV/cell): 2.92
Size of the total moment (Bohr magnetons per cell): 0.0

=====

Most stable of them? Q.

=====

P.
# YGaHRh2

A relaxed structure of YGaHRh2 (PBE, the Alexandria database).

```
YGaHRh2
1.0
3.6533 0.0000 0.0000
-1.8266 5.5891 0.0000
0.0000 0.0000 7.3287
H Ga Rh Y
2 2 4 2
Cartesian
0.0000 0.0000 0.0000
0.0000 0.0000 3.6643
1.8266 2.6064 5.4965
0.0000 2.9827 1.8322
1.8266 3.9133 3.3152
0.0000 1.6758 6.9796
0.0000 1.6758 4.0135
1.8266 3.9133 0.3491
1.8266 0.4669 1.8322
0.0000 5.1222 5.4965
```

Space-group type: No. 63
N(E_F) (states/eV/cell): 5.35
Size of the total moment (Bohr magnetons per cell): 0.0

=====

Q.
# YGaHRh2

A relaxed structure of YGaHRh2 (PBE, the Alexandria database).

```
YGaHRh2
1.0
-3.2404 -0.0563 -2.6111
-0.5724 -4.0444 0.7976
-2.5285 0.9725 3.1169
Rh Ga Y H
2 1 1 1
Cartesian
-0.2862 -2.0222 0.3988
-1.6202 -0.0282 -1.3056
-3.1707 -1.5641 0.6517
-1.2643 0.4862 1.5585
0.0000 0.0000 0.0000
```

Space-group type: No. 123
N(E_F) (states/eV/cell): 2.60
Size of the total moment (Bohr magnetons per cell): 0.0

=====

Most stable of them? P.